Density functional theory data (PBE-GGA) for a geometry-optimized LaAl6Fe3 structure.

Cell: 7.119 7.119 7.119 Å, 45.20 45.20 45.20°
Sites, in units of the cell vectors:
La (0.000, 0.000, 0.000)
Al (0.105, 0.601, 0.601)
Al (0.402, 0.402, 0.901)
Al (0.402, 0.901, 0.402)
Al (0.601, 0.105, 0.601)
Al (0.601, 0.601, 0.105)
Al (0.901, 0.402, 0.402)
Fe (0.339, 0.339, 0.339)
Fe (0.671, 0.671, 0.671)
Fe (0.862, 0.862, 0.862)

Values from the calculation:
crystal system = trigonal
volume = 16.54 Å³ per atom
formation energy = -2.17 eV/f.u.
E = -5.49 eV per atom